A relaxed structure of Tl2RuI6, computed with PBE.

Cell: 7.7311 8.2320 13.3870 Å, 90.00 124.74 90.00°
Fractional coordinates of all 18 atoms:
Tl (0.2255, 0.0836, 0.2508)
Tl (0.2255, 0.4164, 0.7508)
Tl (0.7745, 0.5836, 0.2492)
Tl (0.7745, 0.9164, 0.7492)
Ru (0.5000, 0.0000, 0.0000)
Ru (0.5000, 0.5000, 0.5000)
I (0.1724, 0.1820, 0.9589)
I (0.1724, 0.3180, 0.4589)
I (0.2788, 0.7234, 0.9635)
I (0.2788, 0.7766, 0.4635)
I (0.3410, 0.0089, 0.7599)
I (0.3410, 0.4911, 0.2599)
I (0.6590, 0.5089, 0.7401)
I (0.6590, 0.9911, 0.2401)
I (0.7212, 0.2234, 0.5365)
I (0.7212, 0.2766, 0.0365)
I (0.8276, 0.6820, 0.5411)
I (0.8276, 0.8180, 0.0411)

Formation energy without anion corrections (eV per atom): -0.29

=====

A relaxed structure of YTeOs2W, computed with PBE.

Cell: 4.7476 4.7476 5.4908 Å, 90.00 90.00 90.00°
Fractional coordinates of all 5 atoms:
Y (0.0000, 0.0000, 0.0000)
Te (0.5000, 0.5000, 0.0000)
Os (0.0000, 0.5000, 0.5000)
Os (0.5000, 0.0000, 0.5000)
W (0.0000, 0.0000, 0.5000)

Formation energy without anion corrections (eV per atom): 1.31

=====

Number 1: total energy -25.92 eV/f.u.. Number 2: total energy -38.45 eV/f.u..